Computed, not measured: a relaxed EuThAl2 crystal at the GGA-PBE level of DFT.

a b c (Å): 3.6074 3.6074 10.0608
angles (deg): 79.67 79.67 60.00
With the nearest neighbours (Å) after each atom.
Atoms (fractional coordinates):
1 Eu 0.0000 0.0000 0.0000  6 Al 3.24, 6 Eu 3.61
2 Al 0.2493 0.2493 0.2521  3 Th 3.21, 3 Eu 3.24
3 Al 0.7507 0.7507 0.7479  3 Th 3.21, 3 Eu 3.24
4 Th 0.5000 0.5000 0.5000  6 Al 3.21

## Properties
For the formation enthalpy at 0 K, the calculation gives 0.04 eV per formula unit. The value obtained for the energy above the most stable polymorph in this dataset is 5.56 kcal/mol of atoms.